1.
Below is crystalline Tl9Hg2O3 at its relaxed geometry, with properties calculated at the PBE level.

Structure (extended XYZ):
```
28
Lattice="5.938 -7.588 0.000 5.938 7.588 0.000 -4.136 0.000 8.863" Properties=species:S:1:pos:R:3 pbc="T T T"
Tl 2.186 3.742 2.984
Tl 2.682 5.890 6.021
Tl -1.050 1.800 8.802
Tl 5.058 5.890 2.842
Tl 5.938 4.099 0.000
Tl 0.171 0.000 5.861
Tl 2.320 0.000 2.884
Tl -1.050 -1.800 8.802
Tl 5.554 3.742 5.879
Tl 2.186 -3.742 2.984
Tl 8.790 1.800 0.061
Tl 5.420 0.000 5.979
Tl 7.569 0.000 3.002
Tl 5.938 -4.099 0.000
Tl 2.682 -5.890 6.021
Tl 8.790 -1.800 0.061
Tl 5.058 -5.890 2.842
Tl 5.554 -3.742 5.879
Hg 2.648 2.164 6.026
Hg 5.092 2.164 2.838
Hg 2.648 -2.164 6.026
Hg 5.092 -2.164 2.838
O 1.282 1.935 1.623
O -1.839 0.000 7.248
O 1.282 -1.935 1.623
O 6.458 1.935 7.241
O 9.579 0.000 1.616
O 6.458 -1.935 7.241
```

Magnetization: 0.000 μB/atom
ΔE_f (raw): -0.299 eV/atom

2.
Below is crystalline Li4MgPd at its relaxed geometry, with properties calculated at the PBE level.

Structure (extended XYZ):
```
12
Lattice="-5.069 5.069 2.702 5.069 -5.069 2.702 5.069 5.069 -2.702" Properties=species:S:1:pos:R:3 pbc="T T T"
Li 5.069 2.455 -0.139
Li 2.455 0.000 1.212
Li 7.684 0.000 1.212
Li 0.000 2.311 0.000
Li 0.000 2.614 2.563
Li -2.311 5.069 1.351
Li 2.311 5.069 1.351
Li 0.000 7.828 0.000
Mg 5.069 0.000 2.320
Mg 0.000 0.000 3.670
Pd 0.000 0.000 1.010
Pd 0.000 5.069 2.361
```

Excess energy over the best structure of this formula in the dataset: 240.4 meV per atom
Magnetization: 0.000 μB/atom
ΔH_f (0 K): 10 meV/atom

3.
Below is crystalline Co5As at its relaxed geometry, with properties calculated at the PBE level.

Structure (extended XYZ):
```
6
Lattice="1.773 -5.408 0.000 1.773 5.408 0.000 0.000 0.000 3.538" Properties=species:S:1:pos:R:3 pbc="T T T"
Co 0.000 0.000 0.000
Co 1.773 3.530 1.769
Co 1.773 1.858 0.000
Co 1.773 -1.858 0.000
Co 1.773 -3.530 1.769
As 1.773 0.000 1.769
```

Magnetization: 1.089 μB/atom
ΔH_f (0 K): -6 meV/atom

4.
Below is crystalline MnAs2W at its relaxed geometry, with properties calculated at the PBE level.

Structure (extended XYZ):
```
8
Lattice="-2.882 2.882 5.550 2.882 -2.882 5.550 2.882 2.882 -5.550" Properties=species:S:1:pos:R:3 pbc="T T T"
Mn 0.000 0.000 0.000
Mn 0.000 2.882 2.775
As 1.441 -1.414 4.163
As 1.468 1.441 1.388
As 1.441 4.296 -1.388
As 1.414 1.441 6.938
W 2.882 0.000 2.775
W 0.000 0.000 5.550
```

Excess energy over the best structure of this formula in the dataset: 523.7 meV per atom
Magnetization: 1.157 μB/atom
ΔH_f (0 K): 535 meV/atom

5.
Below is crystalline Y2Ga4Cu3Pd at its relaxed geometry, with properties calculated at the PBE level.

Structure (extended XYZ):
```
10
Lattice="4.136 0.000 0.000 0.000 4.136 0.000 0.000 0.000 10.311" Properties=species:S:1:pos:R:3 pbc="T T T"
Y 0.000 2.068 2.542
Y 2.068 0.000 7.769
Ga 0.000 0.000 0.000
Ga 0.000 2.068 6.557
Ga 2.068 0.000 3.754
Ga 2.068 2.068 0.000
Cu 0.000 2.068 8.937
Cu 2.068 0.000 1.374
Cu 2.068 2.068 5.155
Pd 0.000 0.000 5.155
```

Magnetization: 0.000 μB/atom
ΔH_f (0 K): -527 meV/atom

6.
Below is crystalline Ho2S2Br at its relaxed geometry, with properties calculated at the PBE level.

Structure (extended XYZ):
```
10
Lattice="6.226 -2.705 0.000 6.226 2.705 0.000 -2.502 0.000 7.708" Properties=species:S:1:pos:R:3 pbc="T T T"
Ho -0.534 0.000 1.827
Ho 1.891 0.000 7.176
Ho 8.059 0.000 0.532
Ho 10.485 0.000 5.881
S 1.860 0.000 0.579
S 4.279 0.000 5.870
S 5.671 0.000 1.838
S 8.091 0.000 7.129
Br 0.581 0.000 4.521
Br 9.369 0.000 3.186
```

Magnetization: 0.000 μB/atom
ΔE_f (raw): -1.951 eV/atom

7.
Below is crystalline BeBiPO2 at its relaxed geometry, with properties calculated at the PBE level.

Structure (extended XYZ):
```
5
Lattice="3.800 0.000 0.000 0.000 3.800 0.000 0.000 0.000 4.436" Properties=species:S:1:pos:R:3 pbc="T T T"
Be 0.000 0.000 0.000
Bi 1.900 1.900 2.218
P 0.000 0.000 2.218
O 0.000 1.900 0.000
O 1.900 0.000 0.000
```

Excess energy over the best structure of this formula in the dataset: 0.0 meV per atom
Magnetization: 0.063 μB/atom
ΔE_f (raw): -0.279 eV/atom

8.
Below is crystalline Dy2Y5Er3 at its relaxed geometry, with properties calculated at the PBE level.

Structure (extended XYZ):
```
20
Lattice="5.338 -7.941 0.000 5.338 7.941 0.000 -5.332 0.000 7.725" Properties=species:S:1:pos:R:3 pbc="T T T"
Dy 1.297 1.905 0.349
Dy -1.369 -1.905 4.212
Dy 6.713 1.905 3.513
Dy 4.047 -1.905 7.375
Y -1.326 1.785 5.879
Y 1.339 4.272 5.793
Y 4.005 3.638 1.931
Y 1.340 -1.785 2.017
Y 4.005 0.474 1.931
Y 1.339 -0.474 5.793
Y 4.004 1.785 5.708
Y 1.339 -3.638 5.793
Y 4.005 -4.272 1.931
Y 6.670 -1.785 1.845
Er 1.339 7.477 5.793
Er 1.299 1.894 3.489
Er -1.367 -1.894 7.351
Er 6.711 1.894 0.373
Er 4.045 -1.894 4.236
Er 4.005 -7.477 1.931
```

Excess energy over the best structure of this formula in the dataset: 0.0 meV per atom
Magnetization: 0.000 μB/atom
ΔH_f (0 K): 193 meV/atom